The following is a GGA+U calculation of a geometry-optimized Li2FeF4 structure, from Alexandria via LeMat-Bulk.

The structure belongs to space group P2/c (No. 13); the cell edges are 5.2267, 3.1762 and 10.4582 Å and the angles 90.00°, 112.63° and 90.00°. The distinct sites, in fractional coordinates, are Li at (0.1553, 0.0034, 0.4224), Fe at (0.5000, 0.4970, 0.7500), F at (0.2433, 0.0029, 0.1217) and F at (0.2697, 0.4966, 0.8652).

As for the energy above the most stable polymorph in this dataset: 2 meV per atom. The electronic total energy is -5.150 eV/atom.